VASP calculation (PBE) on crystalline Li2LaIr at its relaxed geometry.

```
Li2LaIr
1.0
-2.037 2.037 10.268
2.037 -2.037 10.268
2.037 2.037 -10.268
Li La Ir
4 2 2
Direct
0.040 0.125 0.415
0.375 0.960 0.085
0.710 0.625 0.585
0.875 0.290 0.915
0.250 0.750 0.500
0.500 0.500 0.000
0.000 0.000 0.000
0.750 0.250 0.500
```

Properties
Total magnetization ... 0.000 μB/cell
V ... 170 Å³ per cell
Formation enthalpy at 0 K ... -0.187 eV/atom
Crystal system ... tetragonal
Space-group type ... I-42d

---

VASP calculation (PBE) on crystalline BaCr2Cu at its relaxed geometry.

```
BaCr2Cu
1.0
2.250 1.299 5.830
-2.250 1.299 5.830
0.000 -2.598 5.830
Ba Cr Cu
1 2 1
Direct
0.000 0.000 0.000
0.187 0.187 0.187
0.813 0.813 0.813
0.500 0.500 0.500
```

Properties
Total magnetization ... 7.613 μB/cell
V ... 102 Å³ per cell
Formation enthalpy at 0 K ... 0.715 eV/atom
Crystal system ... trigonal
Space-group type ... R-3m

---

VASP calculation (PBE) on crystalline NbTlTe3 at its relaxed geometry.

```
NbTlTe3
1.0
5.497 0.000 0.000
0.000 5.497 0.000
0.000 0.000 5.497
Nb Tl Te
1 1 3
Direct
0.000 0.000 0.000
0.500 0.500 0.500
0.000 0.000 0.500
0.000 0.500 0.000
0.500 0.000 0.000
```

Properties
Total magnetization ... 0.000 μB/cell
V ... 166 Å³ per cell
Crystal system ... cubic
Energy relative to the elements, uncorrected ... -0.089 eV per atom
Space-group type ... Pm-3m

---

VASP calculation (PBE) on crystalline Na2AcTiF8 at its relaxed geometry.

```
Na2AcTiF8
1.0
4.412 0.000 0.000
0.000 7.476 0.000
-0.099 0.000 5.468
Na Ac Ti F
2 1 1 8
Direct
0.000 0.226 0.000
0.000 0.774 0.000
0.500 0.500 0.500
0.500 0.000 0.500
0.038 0.500 0.250
0.155 0.000 0.282
0.380 0.215 0.717
0.380 0.785 0.717
0.620 0.215 0.283
0.620 0.785 0.283
0.845 0.000 0.718
0.962 0.500 0.750
```

Properties
Total magnetization ... 1.000 μB/cell
V ... 180 Å³ per cell
Crystal system ... monoclinic
Energy relative to the elements, uncorrected ... -3.389 eV per atom
Space-group type ... P2/m

---

VASP calculation (PBE) on crystalline LaRu2W at its relaxed geometry.

```
LaRu2W
1.0
0.000 3.282 3.282
3.282 0.000 3.282
3.282 3.282 0.000
La Ru W
1 2 1
Direct
0.000 0.000 0.000
0.250 0.250 0.250
0.500 0.500 0.500
0.750 0.750 0.750
```

Properties
Total magnetization ... 1.501 μB/cell
V ... 71 Å³ per cell
Formation enthalpy at 0 K ... 0.566 eV/atom
Crystal system ... cubic
Space-group type ... F-43m

---

VASP calculation (PBE) on crystalline LiTlS2 at its relaxed geometry.

```
LiTlS2
1.0
4.758 0.000 0.000
-0.173 5.693 0.000
-0.873 -0.429 7.005
Li Tl S
2 2 4
Direct
0.000 0.000 0.000
0.322 0.505 0.960
0.437 0.965 0.610
0.884 0.542 0.351
0.368 0.236 0.227
0.521 0.923 0.106
0.800 0.583 0.855
0.954 0.270 0.734
```

Properties
Total magnetization ... 0.000 μB/cell
V ... 190 Å³ per cell
Crystal system ... triclinic
Energy relative to the elements, uncorrected ... -0.561 eV per atom
Space-group type ... P1

---

VASP calculation (PBE) on crystalline MnPbBr2 at its relaxed geometry.

```
MnPbBr2
1.0
-4.365 4.365 2.694
4.365 -4.365 2.694
4.365 4.365 -2.694
Mn Pb Br
2 2 4
Direct
0.000 0.000 0.000
0.750 0.250 0.500
0.250 0.750 0.500
0.500 0.500 0.000
0.375 0.013 0.138
0.763 0.625 0.638
0.875 0.237 0.862
0.987 0.125 0.362
```

Properties
Total magnetization ... 0.000 μB/cell
V ... 205 Å³ per cell
Crystal system ... tetragonal
Energy relative to the elements, uncorrected ... 0.164 eV per atom
Space-group type ... I-42d

---

VASP calculation (PBE) on crystalline Ni3Ag2Se4 at its relaxed geometry.

```
Ni3Ag2Se4
1.0
0.000 5.747 5.781
2.518 0.000 5.781
2.518 5.747 0.000
Ni Ag Se
3 2 4
Direct
0.000 0.000 0.000
0.000 0.500 0.000
0.500 0.000 0.500
0.379 0.621 0.379
0.621 0.379 0.621
0.008 0.287 0.713
0.287 0.008 0.992
0.713 0.992 0.008
0.992 0.713 0.287
```

Properties
Total magnetization ... 0.000 μB/cell
V ... 167 Å³ per cell
Crystal system ... orthorhombic
Energy relative to the elements, uncorrected ... -0.133 eV per atom
Space-group type ... Fmmm